<i>
# Sr2MgV2Si4O14, optimized geometry, DFT PBE with a Hubbard U
# * theoretical density: 3.4 g/cm³
data_Sr2MgV2Si4O14
_cell_length_a 5.597
_cell_length_b 7.457
_cell_length_c 8.177
_cell_angle_alpha 74.93
_cell_angle_beta 70.94
_cell_angle_gamma 84.80
_space_group_name_H-M_alt 'P 1'
_space_group_IT_number 1
loop_
_space_group_symop_operation_xyz
'x,y,z'
loop_
_atom_site_label
_atom_site_fract_x
_atom_site_fract_y
_atom_site_fract_z
Sr1 0.000 0.000 0.000
Sr2 0.294 0.683 0.339
Mg1 0.882 0.273 0.230
V1 0.111 0.583 0.874
V2 0.265 0.176 0.478
Si1 0.519 0.261 0.940
Si2 0.574 0.832 0.886
Si3 0.704 0.882 0.463
Si4 0.734 0.436 0.512
O1 0.021 0.376 0.400
O2 0.105 0.087 0.700
O3 0.161 0.593 0.652
O4 0.220 0.327 0.012
O5 0.303 0.724 0.982
O6 0.465 0.962 0.393
O7 0.508 0.034 0.947
O8 0.561 0.362 0.414
O9 0.636 0.374 0.728
O10 0.659 0.875 0.670
O11 0.700 0.278 0.052
O12 0.747 0.665 0.437
O13 0.789 0.730 0.973
O14 0.956 0.998 0.327

=====

<ii>
# Sr2MgV2Si4O14, optimized geometry, DFT PBE with a Hubbard U
# * theoretical density: 3.6 g/cm³
data_Sr2MgV2Si4O14
_cell_length_a 5.510
_cell_length_b 7.165
_cell_length_c 7.857
_cell_angle_alpha 90.00
_cell_angle_beta 109.61
_cell_angle_gamma 90.00
_space_group_name_H-M_alt 'P 1 m 1'
_space_group_IT_number 6
loop_
_space_group_symop_operation_xyz
'x,y,z'
'x,-y,z'
loop_
_atom_site_label
_atom_site_fract_x
_atom_site_fract_y
_atom_site_fract_z
Sr1 0.000 0.000 0.000
Sr2 0.391 0.500 0.809
Mg1 0.393 0.000 0.755
V1 0.029 0.000 0.430
V2 0.084 0.500 0.196
Si1 0.575 0.219 0.188
Si2 0.806 0.271 0.627
O1 0.097 0.188 0.713
O2 0.206 0.500 0.418
O3 0.248 0.000 0.310
O4 0.296 0.317 0.103
O5 0.546 0.000 0.090
O6 0.622 0.205 0.737
O7 0.708 0.204 0.412
O8 0.794 0.313 0.116
O9 0.828 0.500 0.641

=====

<iii>
# Sr2MgV2Si4O14, optimized geometry, DFT PBE with a Hubbard U
# * theoretical density: 3.5 g/cm³
data_Sr2MgV2Si4O14
_cell_length_a 5.649
_cell_length_b 7.344
_cell_length_c 7.548
_cell_angle_alpha 90.00
_cell_angle_beta 105.58
_cell_angle_gamma 90.00
_space_group_name_H-M_alt 'P 1 m 1'
_space_group_IT_number 6
loop_
_space_group_symop_operation_xyz
'x,y,z'
'x,-y,z'
loop_
_atom_site_label
_atom_site_fract_x
_atom_site_fract_y
_atom_site_fract_z
Sr1 0.000 0.000 0.000
Sr2 0.255 0.500 0.723
Mg1 0.399 0.500 0.309
V1 0.212 0.000 0.587
V2 0.962 0.500 0.111
Si1 0.544 0.218 0.148
Si2 0.715 0.273 0.597
O1 0.105 0.000 0.363
O2 0.121 0.500 0.396
O3 0.280 0.318 0.077
O4 0.481 0.189 0.656
O5 0.485 0.000 0.134
O6 0.637 0.283 0.369
O7 0.728 0.500 0.657
O8 0.748 0.267 0.045
O9 0.986 0.185 0.681

=====

Which of them is most stable, and which least? Most stable: <i>; least stable: <ii>.

=====

<i>
# Sr2MgV2Si4O14, optimized geometry, DFT PBE with a Hubbard U
# * theoretical density: 3.5 g/cm³
data_Sr2MgV2Si4O14
_cell_length_a 14.810
_cell_length_b 5.546
_cell_length_c 7.289
_cell_angle_alpha 90.00
_cell_angle_beta 94.38
_cell_angle_gamma 90.00
_space_group_name_H-M_alt 'C 1 2 1'
_space_group_IT_number 5
loop_
_space_group_symop_operation_xyz
'x,y,z'
'-x,y,-z'
'x+1/2,y+1/2,z'
'-x+1/2,y+1/2,-z'
loop_
_atom_site_label
_atom_site_fract_x
_atom_site_fract_y
_atom_site_fract_z
Sr1 0.191 0.000 0.276
Mg1 0.000 0.875 0.000
V1 0.115 0.013 0.741
Si1 0.108 0.504 0.481
Si2 0.111 0.484 0.035
O1 0.000 0.475 0.000
O2 0.000 0.501 0.500
O3 0.009 0.006 0.245
O4 0.133 0.757 0.967
O5 0.136 0.494 0.262
O6 0.155 0.749 0.569
O7 0.158 0.251 0.953
O8 0.158 0.264 0.567

=====

<ii>
# Sr2MgV2Si4O14, optimized geometry, DFT PBE with a Hubbard U
# * theoretical density: 2.8 g/cm³
data_Sr2MgV2Si4O14
_cell_length_a 7.209
_cell_length_b 5.509
_cell_length_c 19.047
_cell_angle_alpha 90.00
_cell_angle_beta 90.00
_cell_angle_gamma 90.00
_space_group_name_H-M_alt 'A m m 2'
_space_group_IT_number 38
loop_
_space_group_symop_operation_xyz
'x,y,z'
'-x,-y,z'
'-x,y,z'
'x,-y,z'
'x,y+1/2,z+1/2'
'-x,-y+1/2,z+1/2'
'-x,y+1/2,z+1/2'
'x,-y+1/2,z+1/2'
loop_
_atom_site_label
_atom_site_fract_x
_atom_site_fract_y
_atom_site_fract_z
Sr1 0.000 0.000 0.000
Sr2 0.500 0.000 0.252
Mg1 0.500 0.000 0.449
V1 0.000 0.000 0.216
V2 0.500 0.000 0.038
Si1 0.224 0.000 0.547
Si2 0.272 0.000 0.716
O1 0.000 0.000 0.128
O2 0.000 0.000 0.527
O3 0.192 0.245 0.246
O4 0.254 0.000 0.630
O5 0.307 0.236 0.505
O6 0.500 0.000 0.130
O7 0.500 0.000 0.736

=====

Which of them is most stable, and which least? Most stable: <i>; least stable: <ii>.